Entry 1:
CsCu3Pd: optimized geometry, PBEsol.

Space group = Pm-3m
Magnetic moment = 0.00 μB per formula unit
ΔE_f = 2.2084 eV per atom
Density of states at the Fermi level = 6.0 states/eV/cell

Cell: 4.9853 4.9853 4.9853 Å, 90.00 90.00 90.00°
Closest atoms and distances in Å follow each position.
Element x y z (fractional)
Cs (0.0000, 0.0000, 0.0000)  6 Cu 2.49
Cu (0.0000, 0.0000, 0.5000)  2 Cs 2.49
Cu (0.0000, 0.5000, 0.0000)  2 Cs 2.49
Cu (0.5000, 0.0000, 0.0000)  2 Cs 2.49
Pd (0.5000, 0.5000, 0.5000)  12 Cu 3.53

Entry 2:
Ba2TlCu2: optimized geometry, PBEsol.

Space group = P4/mbm
Magnetic moment = 0.00 μB per formula unit
ΔE_f = -0.0534 eV per atom
Density of states at the Fermi level = 6.6 states/eV/cell

Cell: 8.0703 8.0703 4.3509 Å, 90.00 90.00 90.00°
Closest atoms and distances in Å follow each position.
Element x y z (fractional)
Ba (0.1860, 0.3140, 0.0000)  6 Cu 3.22-3.27
Ba (0.3140, 0.8140, 0.0000)  6 Cu 3.22-3.27
Ba (0.6860, 0.1860, 0.0000)  6 Cu 3.22-3.27
Ba (0.8140, 0.6860, 0.0000)  6 Cu 3.22-3.27
Tl (0.0000, 0.0000, 0.5000)  4 Cu 3.29, 8 Ba 3.66
Tl (0.5000, 0.5000, 0.5000)  4 Cu 3.29, 8 Ba 3.66
Cu (0.1061, 0.6061, 0.5000)  1 Cu 2.42
Cu (0.3939, 0.1061, 0.5000)  1 Cu 2.42
Cu (0.6061, 0.8939, 0.5000)  1 Cu 2.42
Cu (0.8939, 0.3939, 0.5000)  1 Cu 2.42

Entry 3:
SrInPt2: optimized geometry, PBEsol.

Space group = P4mm
Magnetic moment = 0.00 μB per formula unit
ΔE_f = -0.3114 eV per atom
Density of states at the Fermi level = 2.5 states/eV/cell

Cell: 3.5163 3.5163 6.8690 Å, 90.00 90.00 90.00°
Closest atoms and distances in Å follow each position.
Element x y z (fractional)
Sr (0.0000, 0.0000, 0.0000)  5 Pt 3.08-3.18
In (0.5000, 0.5000, 0.3473)  5 Pt 2.67-2.81
Pt (0.0000, 0.0000, 0.5369)  4 In 2.81, 4 Pt 2.84
Pt (0.5000, 0.5000, 0.7363)  1 In 2.67, 4 Pt 2.84

Q: What is the magnetic moment in the third record?
A: 0.00 μB per formula unit

Q: What is the magnetic moment in the first record?
A: 0.00 μB per formula unit